LaScGaI2 | SCAN | single point on PBEsol structure

```
LaScGaI2
1.0
6.039 0.000 0.000
0.000 6.039 0.000
0.000 0.000 5.926
La Sc Ga I
1 1 1 2
direct
0.000 0.000 0.000
0.000 0.000 0.500
0.500 0.500 0.500
0.000 0.500 0.000
0.500 0.000 0.000
```

Results
Magnetization = 0.000 μB/atom
Uncorrected energy = -29.181 eV per atom
SG = No. 123

---

LiGaI2 | SCAN | single point on PBEsol structure

```
LiGaI2
1.0
-3.890 3.890 4.266
3.890 -3.890 4.266
3.890 3.890 -4.266
Li Ga I
2 2 4
direct
0.000 0.000 0.000
0.750 0.250 0.500
0.250 0.750 0.500
0.500 0.500 0.000
0.083 0.625 0.958
0.375 0.333 0.458
0.667 0.125 0.042
0.875 0.917 0.542
```

Results
Magnetization = 0.000 μB/atom
Uncorrected energy = -23.765 eV per atom
SG = No. 122

---

DOS at the Fermi energy values, unit states/eV/cell, following the record order: 5.7, 0.0.